Entry from Alexandria: a relaxed structure of NaMoF5 (GGA+U).

```
NaMoF5
1.0
3.886 0.000 1.424
1.601 5.314 1.646
0.083 0.123 5.787
Na Mo F
1 1 5
Direct
0.500 0.500 0.500
0.000 0.000 0.000
0.767 0.233 0.233
0.000 0.290 0.710
0.500 0.000 0.000
0.000 0.710 0.290
0.233 0.767 0.767
```

Summary:
Calculated density   3.0 g/cm3
Size of the total moment   2.0 μB per formula unit
Uncorrected energy   -5.19 eV/atom
SG   Immm (71)